VASP calculation (PBE+U) on a relaxed structure of NiAgF2.

Lattice parameters (Å, degrees): 5.8426 5.8426 5.8426 90.00 90.00 90.00
Positions (direct):
Ni  0.0000  0.0000  0.0000
Ni  0.0000  0.5000  0.5000
Ni  0.5000  0.0000  0.5000
Ni  0.5000  0.5000  0.0000
Ag  0.0000  0.0000  0.5000
Ag  0.0000  0.5000  0.0000
Ag  0.5000  0.0000  0.0000
Ag  0.5000  0.5000  0.5000
F  0.2500  0.2500  0.2500
F  0.2500  0.2500  0.7500
F  0.2500  0.7500  0.2500
F  0.2500  0.7500  0.7500
F  0.7500  0.2500  0.2500
F  0.7500  0.2500  0.7500
F  0.7500  0.7500  0.2500
F  0.7500  0.7500  0.7500

Computed properties:
The energy above the most stable polymorph in this dataset comes out at 960 meV/atom. The space group is Fm-3m, No. 225. The density of states at the Fermi level comes out at 1.516 states/eV/atom. The spin magnetization comes out at 1.26 μB/f.u. The density comes out at 6.8 g/cm³.